A plane-wave DFT calculation with PBE-GGA was carried out for Rb2PBr7 after structural relaxation.

Output
raw total energy	-0.0991	Ha/atom
D(E_F)	0.38	states/eV/f.u.
formation energy without anion corrections	-0.7921	eV per atom

Cell: 7.9157 7.9157 7.9157 Å, 120.23 120.23 89.60°
Fractional positions:
1 Rb 0.2500 0.7500 0.5000
2 Rb 0.7500 0.2500 0.5000
3 P 0.0000 0.0000 0.0000
4 Br 0.2178 0.2178 0.0000
5 Br 0.2190 0.2190 0.4380
6 Br 0.2190 0.7810 0.0000
7 Br 0.5000 0.5000 0.0000
8 Br 0.7810 0.2190 0.0000
9 Br 0.7810 0.7810 0.5620
10 Br 0.7822 0.7822 0.0000



A plane-wave DFT calculation with PBE-GGA was carried out for CoW2Cl after structural relaxation.

Output
raw total energy	-0.2945	Ha/atom
D(E_F)	3.01	states/eV/f.u.
formation energy without anion corrections	0.7007	eV per atom

Cell: 4.8237 4.8237 4.6655 Å, 92.64 92.64 33.62°
Fractional positions:
1 Co 0.0000 0.0000 0.0000
2 W 0.4482 0.4482 0.5276
3 W 0.7212 0.7212 0.7907
4 Cl 0.2190 0.2190 0.2039